[1]
Material: LiSi2OsN
Method: DFT, PBE
State: optimized geometry

The formation energy without anion corrections is 0.187 eV/atom. For the total magnetic moment, the calculation gives 0.0 Bohr magnetons per cell.

a = 3.982 Å, b = 3.982 Å, c = 3.504 Å
α = 90.00°, β = 90.00°, γ = 90.00°
Fractional positions:
Li  0.000  0.000  0.000
Si  0.000  0.500  0.500
Si  0.500  0.000  0.500
Os  0.500  0.500  0.000
N  0.000  0.000  0.500


[2]
Material: Li2SnOsN
Method: DFT, PBE
State: optimized geometry

The formation energy without anion corrections is 0.381 eV/atom. For the total magnetic moment, the calculation gives 0.0 Bohr magnetons per cell. The polymorph energy (0 for the lowest one) comes out at 0.644 eV per atom.

a = 4.978 Å, b = 4.978 Å, c = 3.718 Å
α = 90.00°, β = 90.00°, γ = 90.00°
Fractional positions:
Li  0.000  0.500  0.000
Li  0.500  0.000  0.000
Sn  0.000  0.000  0.500
Os  0.500  0.500  0.000
N  0.500  0.500  0.500


[3]
Material: Li2SnOsN
Method: DFT, PBE
State: optimized geometry

The formation energy without anion corrections is -0.263 eV/atom. For the total magnetic moment, the calculation gives 0.0 Bohr magnetons per cell. The polymorph energy (0 for the lowest one) comes out at 0.000 eV per atom.

a = 4.220 Å, b = 4.220 Å, c = 3.825 Å
α = 90.00°, β = 90.00°, γ = 90.00°
Fractional positions:
Li  0.000  0.500  0.000
Li  0.500  0.000  0.000
Sn  0.000  0.000  0.500
Os  0.500  0.500  0.500
N  0.500  0.500  0.000


[4]
Material: Sr2LiOs2N6
Method: DFT, PBE
State: optimized geometry

The formation energy without anion corrections is -0.048 eV/atom. For the total magnetic moment, the calculation gives 1.0 Bohr magnetons per cell.

a = 6.617 Å, b = 6.617 Å, c = 6.617 Å
α = 55.10°, β = 55.10°, γ = 55.10°
Fractional positions:
Sr  0.209  0.209  0.209
Sr  0.791  0.791  0.791
Li  0.000  0.000  0.000
Os  0.416  0.416  0.416
Os  0.584  0.584  0.584
N  0.248  0.749  0.749
N  0.251  0.251  0.752
N  0.251  0.752  0.251
N  0.749  0.248  0.749
N  0.749  0.749  0.248
N  0.752  0.251  0.251


[5]
Material: Sr2LiOsN
Method: DFT, PBE
State: optimized geometry

The formation energy without anion corrections is -0.231 eV/atom. For the total magnetic moment, the calculation gives 0.0 Bohr magnetons per cell.

a = 5.496 Å, b = 5.496 Å, c = 3.829 Å
α = 90.00°, β = 90.00°, γ = 90.00°
Fractional positions:
Sr  0.000  0.500  0.000
Sr  0.500  0.000  0.000
Li  0.000  0.000  0.500
Os  0.500  0.500  0.500
N  0.500  0.500  0.000


[6]
Material: LiTa2OsN
Method: DFT, PBE
State: optimized geometry

The formation energy without anion corrections is -0.507 eV/atom. For the total magnetic moment, the calculation gives 0.0 Bohr magnetons per cell. The polymorph energy (0 for the lowest one) comes out at 0.000 eV per atom.

a = 4.267 Å, b = 4.267 Å, c = 3.659 Å
α = 90.00°, β = 90.00°, γ = 90.00°
Fractional positions:
Li  0.000  0.000  0.000
Ta  0.000  0.500  0.500
Ta  0.500  0.000  0.500
Os  0.500  0.500  0.000
N  0.000  0.000  0.500